A plane-wave DFT calculation with PBE was carried out for a relaxed Mn2V2Si crystal.

**N(E_F)**: 11.40 states/eV/cell
**Energy above the most stable polymorph in this dataset**: 0.4884 eV per atom
**Calculated total energy**: -8.17 eV/atom
**Space group**: No. 127
**Mass density**: 6.01 Mg/m³
**Raw formation energy**: 231 meV per atom

Cell: 6.8097 6.8097 2.8569 Å, 90.00 90.00 90.00°
Each line ends with the local moment (μB).
Atoms (fractional coordinates):
V 0.6521 0.1521 0.0000  -0.86
V 0.3479 0.8479 0.0000  -0.86
V 0.1521 0.3479 0.0000  -0.86
V 0.8479 0.6521 0.0000  -0.86
Mn 0.8499 0.3499 0.5000  1.71
Mn 0.3499 0.1501 0.5000  1.71
Mn 0.1501 0.6501 0.5000  1.71
Mn 0.6501 0.8499 0.5000  1.71
Si 0.0000 0.0000 0.0000  0.02
Si 0.5000 0.5000 0.0000  0.02



A plane-wave DFT calculation with PBE was carried out for a relaxed GaCo2Si2 crystal.

**N(E_F)**: 5.58 states/eV/cell
**Calculated total energy**: -5.82 eV/atom
**Space group**: No. 127
**Mass density**: 6.52 Mg/m³
**Raw formation energy**: -206 meV per atom

Cell: 6.9903 6.9903 2.5396 Å, 90.00 90.00 90.00°
Atoms (fractional coordinates):
Si 0.8549 0.6451 0.0000
Si 0.3549 0.8549 0.0000
Si 0.6451 0.1451 0.0000
Si 0.1451 0.3549 0.0000
Co 0.1444 0.6444 0.5000
Co 0.3556 0.1444 0.5000
Co 0.6444 0.8556 0.5000
Co 0.8556 0.3556 0.5000
Ga 0.0000 0.0000 0.0000
Ga 0.5000 0.5000 0.0000



What is the formula in the second record?
GaCo2Si2